[1]
DFT (PBE-GGA) results for crystalline K2RbLiBi at its relaxed geometry.

```
data_K2RbLiBi
_chemical_formula_sum 'K2 Rb1 Li1 Bi1'
_cell_length_a 7.054
_cell_length_b 7.054
_cell_length_c 5.483
_cell_angle_alpha 90.00
_cell_angle_beta 90.00
_cell_angle_gamma 90.00
_space_group_name_H-M_alt 'P 4/m m m'
_space_group_IT_number 123
_space_group_name_Hall '-P 4 2'
loop_
_atom_site_label
_atom_site_type_symbol
_atom_site_fract_x
_atom_site_fract_y
_atom_site_fract_z
K1 K 0.000 0.500 0.000
Rb1 Rb 0.000 0.000 0.500
Li1 Li 0.500 0.500 0.500
Bi1 Bi 0.500 0.500 0.000
```

Values from the calculation:
- D(E_F): 2.5 states/eV/f.u.
- ΔH_f (0 K): -0.190 eV per atom

***

[2]
DFT (PBE-GGA) results for crystalline InOs2Pt at its relaxed geometry.

```
data_InOs2Pt
_chemical_formula_sum 'In1 Os2 Pt1'
_cell_length_a 3.918
_cell_length_b 3.918
_cell_length_c 4.176
_cell_angle_alpha 90.00
_cell_angle_beta 90.00
_cell_angle_gamma 90.00
_space_group_name_H-M_alt 'P 4/m m m'
_space_group_IT_number 123
_space_group_name_Hall '-P 4 2'
loop_
_atom_site_label
_atom_site_type_symbol
_atom_site_fract_x
_atom_site_fract_y
_atom_site_fract_z
In1 In 0.000 0.000 0.000
Os1 Os 0.000 0.500 0.500
Pt1 Pt 0.500 0.500 0.000
```

Values from the calculation:
- D(E_F): 5.4 states/eV/f.u.
- ΔH_f (0 K): 0.449 eV per atom

***

[3]
DFT (PBE-GGA) results for crystalline Ac4MgTl5 at its relaxed geometry.

```
data_Ac4MgTl5
_chemical_formula_sum 'Ac4 Mg1 Tl5'
_cell_length_a 3.901
_cell_length_b 3.901
_cell_length_c 21.518
_cell_angle_alpha 90.00
_cell_angle_beta 90.00
_cell_angle_gamma 90.00
_space_group_name_H-M_alt 'P 4/m m m'
_space_group_IT_number 123
_space_group_name_Hall '-P 4 2'
loop_
_atom_site_label
_atom_site_type_symbol
_atom_site_fract_x
_atom_site_fract_y
_atom_site_fract_z
Ac1 Ac 0.000 0.000 0.106
Ac2 Ac 0.000 0.000 0.319
Mg1 Mg 0.000 0.000 0.500
Tl1 Tl 0.500 0.500 0.000
Tl2 Tl 0.500 0.500 0.213
Tl3 Tl 0.500 0.500 0.424
```

Values from the calculation:
- D(E_F): 7.0 states/eV/f.u.
- ΔH_f (0 K): -0.305 eV per atom

***

[4]
DFT (PBE-GGA) results for crystalline Dy3Ho3Si4 at its relaxed geometry.

```
data_Dy3Ho3Si4
_chemical_formula_sum 'Dy6 Ho6 Si8'
_cell_length_a 4.210
_cell_length_b 10.553
_cell_length_c 10.543
_cell_angle_alpha 90.00
_cell_angle_beta 90.00
_cell_angle_gamma 90.00
_space_group_name_H-M_alt 'A m m 2'
_space_group_IT_number 38
loop_
_space_group_symop_operation_xyz
'x,y,z'
'-x,-y,z'
'-x,y,z'
'x,-y,z'
'x,y+1/2,z+1/2'
'-x,-y+1/2,z+1/2'
'-x,y+1/2,z+1/2'
'x,-y+1/2,z+1/2'
loop_
_atom_site_label
_atom_site_type_symbol
_atom_site_fract_x
_atom_site_fract_y
_atom_site_fract_z
Dy1 Dy 0.000 0.000 0.000
Dy2 Dy 0.000 0.176 0.324
Ho1 Ho 0.000 0.000 0.648
Ho2 Ho 0.500 0.250 0.074
Si1 Si 0.500 0.000 0.208
Si2 Si 0.500 0.000 0.441
Si3 Si 0.500 0.117 0.824
```

Values from the calculation:
- D(E_F): 8.5 states/eV/f.u.
- Total DFT energy (no corrections): -5.632 eV per atom

***

[5]
DFT (PBE-GGA) results for crystalline CsTl2Ga at its relaxed geometry.

```
data_CsTl2Ga
_chemical_formula_sum 'Cs4 Tl8 Ga4'
_cell_length_a 8.373
_cell_length_b 6.327
_cell_length_c 13.538
_cell_angle_alpha 90.00
_cell_angle_beta 125.53
_cell_angle_gamma 90.00
_space_group_name_H-M_alt 'P 1 21/c 1'
_space_group_IT_number 14
loop_
_space_group_symop_operation_xyz
'x,y,z'
'-x,-y,-z'
'-x,y+1/2,-z+1/2'
'x,-y+1/2,z+1/2'
loop_
_atom_site_label
_atom_site_type_symbol
_atom_site_fract_x
_atom_site_fract_y
_atom_site_fract_z
Cs1 Cs 0.001 0.016 0.345
Tl1 Tl 0.490 0.726 0.547
Tl2 Tl 0.497 0.168 0.692
Ga1 Ga 0.194 0.000 0.065
```

Values from the calculation:
- D(E_F): 2.0 states/eV/f.u.
- ΔH_f (0 K): -0.005 eV per atom

***

[6]
DFT (PBE-GGA) results for crystalline Pu6Ir5 at its relaxed geometry.

```
data_Pu6Ir5
_chemical_formula_sum 'Pu12 Ir10'
_cell_length_a 6.842
_cell_length_b 10.565
_cell_length_c 7.210
_cell_angle_alpha 90.00
_cell_angle_beta 105.48
_cell_angle_gamma 90.00
_space_group_name_H-M_alt 'C 1 2/m 1'
_space_group_IT_number 12
loop_
_space_group_symop_operation_xyz
'x,y,z'
'-x,-y,-z'
'-x,y,-z'
'x,-y,z'
'x+1/2,y+1/2,z'
'-x+1/2,-y+1/2,-z'
'-x+1/2,y+1/2,-z'
'x+1/2,-y+1/2,z'
loop_
_atom_site_label
_atom_site_type_symbol
_atom_site_fract_x
_atom_site_fract_y
_atom_site_fract_z
Pu1 Pu 0.220 0.160 0.219
Pu2 Pu 0.225 0.000 0.703
Ir1 Ir 0.000 0.208 0.500
Ir2 Ir 0.000 0.362 0.000
Ir3 Ir 0.000 0.500 0.500
```

Values from the calculation:
- D(E_F): 36.6 states/eV/f.u.
- ΔH_f (0 K): -0.325 eV per atom

***

[7]
DFT (PBE-GGA) results for crystalline AlAg8Au6 at its relaxed geometry.

```
data_AlAg8Au6
_chemical_formula_sum 'Al3 Ag24 Au18'
_cell_length_a 7.7744
_cell_length_b 7.7744
_cell_length_c 17.2527
_cell_angle_alpha 90.00
_cell_angle_beta 90.00
_cell_angle_gamma 120.00
_space_group_name_H-M_alt 'R -3'
_space_group_IT_number 148
_space_group_name_Hall '-R 3'
loop_
_atom_site_label
_atom_site_type_symbol
_atom_site_fract_x
_atom_site_fract_y
_atom_site_fract_z
Al1 Al 0.0000 0.0000 0.0000
Ag1 Ag 0.0000 0.0000 0.3219
Ag2 Ag 0.0124 0.6526 0.8783
Au1 Au 0.0115 0.6930 0.0500
```

Values from the calculation:
- D(E_F): 4.1 states/eV/f.u.
- ΔH_f (0 K): 0.027 eV per atom